The following is a DFT calculation (PBE) of a geometry-optimized Dy3TmSe4 structure.

Cell and atoms, written as POSCAR:
```
Dy3TmSe4
1.0
5.743 0.000 0.000
0.000 5.743 0.000
0.000 0.000 5.743
Dy Tm Se
3 1 4
Direct
0.000 0.000 0.500
0.000 0.500 0.000
0.500 0.000 0.000
0.500 0.500 0.500
0.000 0.000 0.000
0.000 0.500 0.500
0.500 0.000 0.500
0.500 0.500 0.000
```

Output
As for the symmetry: Pm-3m (221). Its spin magnetization is 0.00 μB/f.u. Its crystal system is cubic. The value obtained for the formation energy without anion corrections is -1.71 eV per atom. For the density of states at the Fermi level, the calculation gives 5.18 states/eV per cell.